[1]
Compound: Pm2Pr2Bi5
Source: Alexandria via LeMat-Bulk
Functional: PBE-GGA
Structure: optimized geometry

The formation energy comes out at -6.615 eV/f.u. The density of states at the Fermi level comes out at 25.96 states/eV per cell. For the total moment, the calculation gives 0.00 μB per atom. The volume is 33.36 Å³/atom.

The structure belongs to space group Cmce (No. 64); the cell edges are 16.512, 8.445 and 8.613 Å and the angles 90.00°, 90.00° and 90.00°. The distinct sites, in fractional coordinates, are Pm at (0.000, 0.157, 0.160), Pr at (0.192, 0.000, 0.500), Bi at (0.000, 0.000, 0.500) and Bi at (0.139, 0.147, 0.853).



[2]
Compound: Ce6Ge2Te3Pb
Source: Alexandria via LeMat-Bulk
Functional: PBE-GGA
Structure: optimized geometry

The density of states at the Fermi level comes out at 70.17 states/eV per cell. For the total moment, the calculation gives 0.41 μB per atom. The volume is 30.76 Å³/atom. For the energy relative to the elements, uncorrected, the calculation gives -12.0 eV/f.u.

The structure belongs to space group C2/m (No. 12); the cell edges are 19.298, 4.420 and 8.888 Å and the angles 90.00°, 103.13° and 90.00°. The distinct sites, in fractional coordinates, are Ce at (0.008, 0.000, 0.255), Ce at (0.169, 0.500, 0.103), Ce at (0.172, 0.500, 0.571), Ge at (0.168, 0.000, 0.336), Te at (0.000, 0.500, 0.500), Te at (0.163, 0.000, 0.833) and Pb at (0.000, 0.500, 0.000).



[3]
Compound: Tb2Pu2Se7
Source: Alexandria via LeMat-Bulk
Functional: PBE-GGA
Structure: optimized geometry

The density of states at the Fermi level comes out at 41.67 states/eV per cell. For the total moment, the calculation gives 0.76 μB per atom. The volume is 24.53 Å³/atom. For the energy relative to the elements, uncorrected, the calculation gives -16.3 eV/f.u.

The structure belongs to space group Imm2 (No. 44); the cell edges are 4.056, 14.689 and 9.060 Å and the angles 90.00°, 90.00° and 90.00°. The distinct sites, in fractional coordinates, are Tb at (0.000, 0.000, 0.000), Tb at (0.000, 0.500, 0.047), Pu at (0.000, 0.242, 0.234), Se at (0.000, 0.000, 0.319), Se at (0.000, 0.110, 0.723), Se at (0.000, 0.317, 0.932) and Se at (0.000, 0.360, 0.549).



[4]
Compound: Pu4Ge2H3
Source: Alexandria via LeMat-Bulk
Functional: PBE-GGA
Structure: optimized geometry

The density of states at the Fermi level comes out at 44.13 states/eV per cell. As for the excess energy over the best structure of this formula in the dataset: 103 meV/atom. For the total moment, the calculation gives 0.05 μB per atom. The volume is 17.44 Å³/atom.

The structure belongs to space group C2/m (No. 12); the cell edges are 7.401, 3.131 and 13.805 Å and the angles 90.00°, 101.12° and 90.00°. The distinct sites, in fractional coordinates, are Pu at (0.058, 0.000, 0.398), Pu at (0.132, 0.500, 0.900), Ge at (0.210, 0.500, 0.247), H at (0.000, 0.000, 0.000) and H at (0.136, 0.500, 0.533).



Computed DFT total energy (eV/atom) in order:
-5.009, -5.830, -7.144, -8.754